5
Lattice="4.547 0.000 0.000 0.000 4.547 0.000 0.000 0.000 4.547" Properties=species:S:1:pos:R:3 comment="FePdPt3 GGA-PBE relaxed" polymorph_energy_mev_per_atom=987.9 energy_ev_per_atom=-5.42 formation_enthalpy_0k_ev_per_atom=0.932 crystal_system=cubic total_magnetization_mub_per_cell=3.282 pbc="T T T"
Fe 0.000 0.000 0.000
Pd 2.273 2.273 2.273
Pt 0.000 0.000 2.273
Pt 0.000 2.273 0.000
Pt 2.273 0.000 0.000


11
Lattice="4.354 -1.943 0.000 4.354 1.943 0.000 -2.206 0.000 9.390" Properties=species:S:1:pos:R:3 comment="Fe4Pd5Pt2 GGA-PBE relaxed" energy_ev_per_atom=-6.65 formation_enthalpy_0k_ev_per_atom=-0.119 crystal_system=monoclinic total_magnetization_mub_per_cell=14.676 pbc="T T T"
Fe -0.250 0.000 3.024
Fe 2.208 0.000 2.107
Fe 4.294 0.000 7.283
Fe 6.752 0.000 6.366
Pd -0.885 0.000 8.897
Pd 0.605 0.000 5.591
Pd 3.251 0.000 4.695
Pd 5.897 0.000 3.800
Pd 7.387 0.000 0.494
Pt 1.741 0.000 8.016
Pt 4.761 0.000 1.374


10
Lattice="2.753 0.000 0.000 0.000 2.753 0.000 0.000 0.000 18.886" Properties=species:S:1:pos:R:3 comment="Fe4PdPt5 GGA-PBE relaxed" energy_ev_per_atom=-7.16 formation_enthalpy_0k_ev_per_atom=-0.232 crystal_system=tetragonal total_magnetization_mub_per_cell=0.477 pbc="T T T"
Fe 0.000 0.000 1.851
Fe 0.000 0.000 5.564
Fe 0.000 0.000 13.321
Fe 0.000 0.000 17.034
Pd 0.000 0.000 9.443
Pt 1.377 1.377 0.000
Pt 1.377 1.377 3.707
Pt 1.377 1.377 7.355
Pt 1.377 1.377 11.531
Pt 1.377 1.377 15.179


7
Lattice="3.891 0.000 0.000 0.000 3.891 0.000 0.000 0.000 7.421" Properties=species:S:1:pos:R:3 comment="FePdPt5 GGA-PBE relaxed" polymorph_energy_mev_per_atom=0.0 energy_ev_per_atom=-6.26 formation_enthalpy_0k_ev_per_atom=0.006 crystal_system=tetragonal total_magnetization_mub_per_cell=3.336 pbc="T T T"
Fe 0.000 0.000 0.000
Pd 1.946 1.946 3.710
Pt 0.000 0.000 3.710
Pt 0.000 1.946 1.636
Pt 0.000 1.946 5.785
Pt 1.946 0.000 1.636
Pt 1.946 0.000 5.785


15
Lattice="3.865 2.232 4.602 -3.865 2.232 4.602 0.000 -4.463 4.602" Properties=species:S:1:pos:R:3 comment="FePd8Pt6 GGA-PBE relaxed" polymorph_energy_mev_per_atom=104.1 energy_ev_per_atom=-5.61 formation_enthalpy_0k_ev_per_atom=0.139 crystal_system=trigonal total_magnetization_mub_per_cell=4.392 pbc="T T T"
Fe 0.000 0.000 0.000
Pd -1.234 -2.918 5.858
Pd -3.144 -0.391 7.948
Pd 0.000 0.000 3.358
Pd -1.910 2.527 5.858
Pd 1.910 -2.527 7.948
Pd 0.000 0.000 10.449
Pd 3.144 0.391 5.858
Pd 1.234 2.918 7.948
Pt -1.619 -0.232 5.706
Pt -0.609 -1.518 8.101
Pt 1.010 -1.286 5.706
Pt -1.010 1.286 8.101
Pt 0.609 1.518 5.706
Pt 1.619 0.232 8.101


16
Lattice="8.789 0.000 0.000 0.000 5.436 0.000 0.000 0.000 4.656" Properties=species:S:1:pos:R:3 comment="Fe4Pd3Pt GGA-PBE relaxed" energy_ev_per_atom=-7.04 formation_enthalpy_0k_ev_per_atom=-0.103 crystal_system=orthorhombic total_magnetization_mub_per_cell=26.109 pbc="T T T"
Fe 0.000 1.346 0.000
Fe 0.000 4.090 0.000
Fe 2.197 1.335 1.588
Fe 2.197 4.101 1.588
Fe 4.395 1.346 0.000
Fe 4.395 4.090 0.000
Fe 6.592 1.335 3.067
Fe 6.592 4.101 3.067
Pd 0.000 2.718 2.328
Pd 2.197 0.000 3.968
Pd 2.197 2.718 3.984
Pd 4.395 2.718 2.328
Pd 6.592 0.000 0.688
Pd 6.592 2.718 0.672
Pt 0.000 0.000 2.328
Pt 4.395 0.000 2.328


11
Lattice="-1.366 4.086 7.431 1.366 -4.086 7.431 1.366 4.086 -7.431" Properties=species:S:1:pos:R:3 comment="Fe4Pd3Pt4 GGA-PBE relaxed" polymorph_energy_mev_per_atom=0.0 energy_ev_per_atom=-6.72 formation_enthalpy_0k_ev_per_atom=-0.032 crystal_system=orthorhombic total_magnetization_mub_per_cell=14.538 pbc="T T T"
Fe 0.000 1.821 0.000
Fe 0.000 0.000 3.684
Fe 0.000 0.000 11.178
Fe 0.000 6.351 0.000
Pd 1.366 0.000 1.399
Pd 0.000 0.000 7.431
Pd 0.000 4.086 6.032
Pt 1.366 -1.764 4.987
Pt 0.000 2.322 2.444
Pt 1.366 1.764 4.987
Pt 0.000 5.850 2.444


16
Lattice="5.520 0.000 0.000 0.000 11.042 0.000 0.000 0.000 3.881" Properties=species:S:1:pos:R:3 comment="Fe2Pd5Pt GGA-PBE relaxed" energy_ev_per_atom=-6.24 formation_enthalpy_0k_ev_per_atom=-0.121 crystal_system=orthorhombic total_magnetization_mub_per_cell=17.871 pbc="T T T"
Fe 1.361 1.369 0.000
Fe 1.399 6.890 0.000
Fe 4.121 4.152 0.000
Fe 4.160 9.673 0.000
Pd 0.000 5.521 1.941
Pd 0.011 8.283 1.941
Pd 1.372 4.138 0.000
Pd 1.388 9.659 0.000
Pd 2.750 2.762 1.941
Pd 2.760 0.000 1.941
Pd 2.771 8.280 1.941
Pd 4.132 1.383 0.000
Pd 4.148 6.904 0.000
Pd 5.510 2.759 1.941
Pt 0.000 0.000 1.941
Pt 2.760 5.521 1.941


11
Lattice="2.711 0.000 0.000 0.002 4.323 0.000 1.330 2.102 14.070" Properties=species:S:1:pos:R:3 comment="Fe3Pd6Pt2 GGA-PBE relaxed" energy_ev_per_atom=-6.26 formation_enthalpy_0k_ev_per_atom=-0.024 crystal_system=triclinic total_magnetization_mub_per_cell=3.842 pbc="T T T"
Fe 0.000 0.000 0.000
Fe 1.326 2.131 8.861
Fe 2.717 4.294 5.208
Pd 1.337 4.293 10.244
Pd 1.351 2.132 6.303
Pd 1.352 4.293 2.824
Pd 2.691 2.131 11.245
Pd 2.692 4.292 7.766
Pd 2.705 2.132 3.826
Pt 1.351 2.131 1.284
Pt 2.692 4.294 12.786


11
Lattice="6.790 0.000 0.000 0.000 2.712 0.000 -3.292 0.000 8.708" Properties=species:S:1:pos:R:3 comment="Fe5Pd2Pt4 GGA-PBE relaxed" energy_ev_per_atom=-7.02 formation_enthalpy_0k_ev_per_atom=-0.028 crystal_system=monoclinic total_magnetization_mub_per_cell=16.705 pbc="T T T"
Fe 0.000 0.000 0.000
Fe -2.026 0.000 5.416
Fe 2.536 0.000 0.975
Fe 0.962 0.000 7.733
Fe 5.524 0.000 3.293
Pd 0.552 0.000 5.101
Pd 2.947 0.000 3.607
Pt -1.280 1.356 7.457
Pt 0.755 1.356 2.358
Pt 2.744 1.356 6.350
Pt 4.778 1.356 1.251